Run i
Below is a relaxed NiTeW3 crystal, with properties calculated at the PBE level.

Results
**DOS at the Fermi energy**: 2.498 states/eV/atom
**Magnetization**: 0.00 μB/f.u.

Unit cell a=4.845 b=4.845 c=4.845 alpha=90.00 beta=90.00 gamma=90.00
Element x y z (fractional)
Ni (0.000, 0.000, 0.000)
Te (0.500, 0.500, 0.500)
W (0.000, 0.500, 0.500)
W (0.500, 0.000, 0.500)
W (0.500, 0.500, 0.000)



Run ii
Below is a relaxed NiTeW3 crystal, with properties calculated at the PBE level.

Results
**DOS at the Fermi energy**: 1.787 states/eV/atom
**Magnetization**: 0.00 μB/f.u.

Unit cell a=4.564 b=4.564 c=4.564 alpha=90.00 beta=90.00 gamma=90.00
Element x y z (fractional)
Ni (0.000, 0.000, 0.000)
Te (0.500, 0.500, 0.500)
W (0.000, 0.000, 0.500)
W (0.000, 0.500, 0.000)
W (0.500, 0.000, 0.000)



Which of them is least stable? Easy: run i.



Run i
Below is a relaxed NiTe2W2 crystal, with properties calculated at the PBE level.

Results
**DOS at the Fermi energy**: 0.278 states/eV/atom
**Magnetization**: 0.00 μB/f.u.

Unit cell a=5.437 b=5.437 c=5.437 alpha=122.00 beta=122.00 gamma=86.58
Element x y z (fractional)
Ni (0.000, 0.000, 0.000)
Te (0.250, 0.750, 0.500)
Te (0.750, 0.250, 0.500)
W (0.356, 0.356, 0.000)
W (0.644, 0.644, 0.000)



Run ii
Below is a relaxed NiTe2W2 crystal, with properties calculated at the PBE level.

Results
**DOS at the Fermi energy**: 0.396 states/eV/atom
**Magnetization**: 0.00 μB/f.u.

Unit cell a=6.869 b=6.869 c=4.012 alpha=90.00 beta=90.00 gamma=90.00
Element x y z (fractional)
Ni (0.000, 0.000, 0.000)
Ni (0.500, 0.500, 0.000)
Te (0.165, 0.335, 0.500)
Te (0.335, 0.835, 0.500)
Te (0.665, 0.165, 0.500)
Te (0.835, 0.665, 0.500)
W (0.134, 0.634, 0.000)
W (0.366, 0.134, 0.000)
W (0.634, 0.866, 0.000)
W (0.866, 0.366, 0.000)



Which of them is least stable? Easy: run i.



Run i
Below is a relaxed YNi3Te crystal, with properties calculated at the PBE level.

Results
**DOS at the Fermi energy**: 0.628 states/eV/atom
**Magnetization**: 0.00 μB/f.u.

Unit cell a=4.746 b=4.746 c=4.746 alpha=90.00 beta=90.00 gamma=90.00
Element x y z (fractional)
Y (0.000, 0.000, 0.000)
Ni (0.000, 0.000, 0.500)
Ni (0.000, 0.500, 0.000)
Ni (0.500, 0.000, 0.000)
Te (0.500, 0.500, 0.500)



Run ii
Below is a relaxed YNi3Te crystal, with properties calculated at the PBE level.

Results
**DOS at the Fermi energy**: 0.414 states/eV/atom
**Magnetization**: 0.00 μB/f.u.

Unit cell a=4.637 b=4.637 c=4.637 alpha=90.00 beta=90.00 gamma=90.00
Element x y z (fractional)
Y (0.000, 0.000, 0.000)
Ni (0.000, 0.500, 0.500)
Ni (0.500, 0.000, 0.500)
Ni (0.500, 0.500, 0.000)
Te (0.500, 0.500, 0.500)



Which of them is least stable? Easy: run i.



Run i
Below is a relaxed YNiTe3 crystal, with properties calculated at the PBE level.

Results
**DOS at the Fermi energy**: 0.726 states/eV/atom
**Magnetization**: 0.00 μB/f.u.

Unit cell a=5.080 b=5.080 c=5.080 alpha=90.00 beta=90.00 gamma=90.00
Element x y z (fractional)
Y (0.000, 0.000, 0.000)
Ni (0.500, 0.500, 0.500)
Te (0.000, 0.500, 0.500)
Te (0.500, 0.000, 0.500)
Te (0.500, 0.500, 0.000)



Run ii
Below is a relaxed YNiTe3 crystal, with properties calculated at the PBE level.

Results
**DOS at the Fermi energy**: 2.087 states/eV/atom
**Magnetization**: 1.72 μB/f.u.

Unit cell a=5.782 b=5.782 c=5.782 alpha=90.00 beta=90.00 gamma=90.00
Element x y z (fractional)
Y (0.000, 0.000, 0.000)
Ni (0.500, 0.500, 0.500)
Te (0.000, 0.000, 0.500)
Te (0.000, 0.500, 0.000)
Te (0.500, 0.000, 0.000)



Which of them is least stable? Easy: run ii.